Entry from Alexandria: crystalline RbLiCaI4 at its relaxed geometry (PBE-GGA).

abc: 7.6230 8.1584 9.9789
angles: 90.00 108.70 90.00
With the nearest neighbours (Å) after each atom.
Space group P2_1/m (No. 11)
Unique sites:
1 Rb 0.2347 0.2500 0.0495 [2 per cell]  4 I 3.53-3.87
2 Li 0.2389 0.7500 0.3315 [2 per cell]  4 I 2.67-2.77
3 Ca 0.2150 0.2500 0.5528 [2 per cell]  6 I 3.10-3.32
4 I 0.0153 0.5027 0.7082 [4 per cell]  1 Li 2.77
5 I 0.4461 0.7500 0.1563 [2 per cell]  1 Li 2.71
6 I 0.4823 0.7500 0.5927 [2 per cell]  1 Li 2.67

- Density: 3.62 g/cm3
- Raw formation energy: -1.425 eV/atom
- DFT total energy: -42.12 eV/cell
- Spin magnetization: 0.000 μB/cell